[1]
A plane-wave DFT calculation with PBE was carried out for a geometry-optimized HfO structure.

Unit cell a=5.9695 b=5.9695 c=5.9695 alpha=90.00 beta=90.00 gamma=90.00
Fractional positions:
O: 0.5000 0.0000 0.2500
Hf: 0.5000 0.2500 0.0000
Hf: 0.0000 0.5000 0.2500
O: 0.5000 0.0000 0.7500
Hf: 0.5000 0.7500 0.0000
Hf: 0.0000 0.5000 0.7500
Hf: 0.7500 0.0000 0.5000
O: 0.0000 0.2500 0.5000
O: 0.7500 0.5000 0.0000
Hf: 0.2500 0.0000 0.5000
O: 0.2500 0.5000 0.0000
O: 0.0000 0.7500 0.5000

Output
* uncorrected energy: -9.304 eV per atom
* formation energy from raw total energies: -3.7 eV/f.u.


[2]
A plane-wave DFT calculation with PBE was carried out for a geometry-optimized Hf5O structure.

Unit cell a=3.0610 b=5.3599 c=7.6704 alpha=110.45 beta=90.00 gamma=90.00
Fractional positions:
O: 0.0000 0.0000 0.0000
Hf: 0.5000 0.5000 0.0000
Hf: 0.0000 0.6949 0.3897
Hf: 0.5000 0.1108 0.2216
Hf: 0.5000 0.8892 0.7784
Hf: 0.0000 0.3051 0.6103

Output
* uncorrected energy: -9.634 eV per atom
* formation energy from raw total energies: -3.1 eV/f.u.


[3]
A plane-wave DFT calculation with PBE was carried out for a geometry-optimized Hf4O structure.

Unit cell a=4.5029 b=4.5029 c=4.5029 alpha=90.00 beta=90.00 gamma=90.00
Fractional positions:
Hf: 0.5000 0.0000 0.5000
Hf: 0.0000 0.5000 0.5000
Hf: 0.5000 0.5000 0.0000
Hf: 0.0000 0.0000 0.0000
O: 0.5000 0.5000 0.5000

Output
* uncorrected energy: -10.006 eV per atom
* excess energy over the best structure of this formula in the dataset: 49 meV per atom
* formation energy from raw total energies: -5.3 eV/f.u.


Among the records above, which one has the lowest uncorrected energy?
Hf4O


Please write out number 3 again, unchanged.
A plane-wave DFT calculation with PBE was carried out for a geometry-optimized Hf4O structure.

Unit cell a=4.5029 b=4.5029 c=4.5029 alpha=90.00 beta=90.00 gamma=90.00
Fractional positions:
Hf: 0.5000 0.0000 0.5000
Hf: 0.0000 0.5000 0.5000
Hf: 0.5000 0.5000 0.0000
Hf: 0.0000 0.0000 0.0000
O: 0.5000 0.5000 0.5000

Output
* uncorrected energy: -10.006 eV per atom
* excess energy over the best structure of this formula in the dataset: 49 meV per atom
* formation energy from raw total energies: -5.3 eV/f.u.


Number 3 is which compound?
Hf4O